Record 1
# RbBaTe3 | Alexandria | PBE | optimized geometry
# - Total moment: 3.00 μB/f.u.
# - Energy relative to the elements, uncorrected: -0.429 eV/atom
# - Density of states at the Fermi level: 2.53 states/eV/f.u.
# - E above lowest polymorph: 0.517 eV/atom
data_RbBaTe3
_chemical_formula_sum 'Rb1 Ba1 Te3'
_space_group_name_H-M_alt 'P m -3 m'
_space_group_IT_number 221
_space_group_name_Hall '-P 4 2 3'
_cell_length_a 6.656
_cell_length_b 6.656
_cell_length_c 6.656
_cell_angle_alpha 90.00
_cell_angle_beta 90.00
_cell_angle_gamma 90.00
loop_
_atom_site_label
_atom_site_type_symbol
_atom_site_fract_x
_atom_site_fract_y
_atom_site_fract_z
_atom_site_occupancy
Rb1 Rb 0.000 0.000 0.000 1
Ba1 Ba 0.500 0.500 0.500 1
Te1 Te 0.000 0.500 0.500 1

=====

Record 2
# Na5Dy4Si4O16F | Alexandria | PBE | optimized geometry
# - Total moment: 0.00 μB/f.u.
# - Energy relative to the elements, uncorrected: -2.939 eV/atom
# - Density of states at the Fermi level: 0.00 states/eV/f.u.
data_Na5Dy4Si4O16F
_chemical_formula_sum 'Na10 Dy8 Si8 O32 F2'
_space_group_name_H-M_alt 'I -4'
_space_group_IT_number 82
_cell_length_a 11.670
_cell_length_b 11.670
_cell_length_c 5.450
_cell_angle_alpha 90.00
_cell_angle_beta 90.00
_cell_angle_gamma 90.00
loop_
_space_group_symop_operation_xyz
'x,y,z'
'y,-x,-z'
'-x,-y,z'
'-y,x,-z'
'x+1/2,y+1/2,z+1/2'
'y+1/2,-x+1/2,-z+1/2'
'-x+1/2,-y+1/2,z+1/2'
'-y+1/2,x+1/2,-z+1/2'
loop_
_atom_site_label
_atom_site_type_symbol
_atom_site_fract_x
_atom_site_fract_y
_atom_site_fract_z
_atom_site_occupancy
Na1 Na 0.000 0.000 0.000 1
Na2 Na 0.089 0.605 0.489 1
Dy1 Dy 0.115 0.182 0.476 1
Si1 Si 0.104 0.753 0.988 1
O1 O 0.034 0.793 0.740 1
O2 O 0.049 0.815 0.232 1
O3 O 0.110 0.613 0.017 1
O4 O 0.204 0.236 0.070 1
F1 F 0.000 0.000 0.500 1

=====

Record 3
# Tl2ZnCl | Alexandria | PBE | optimized geometry
# - Total moment: 0.00 μB/f.u.
# - Energy relative to the elements, uncorrected: -0.243 eV/atom
# - Density of states at the Fermi level: 1.78 states/eV/f.u.
# - E above lowest polymorph: 0.070 eV/atom
data_Tl2ZnCl
_chemical_formula_sum 'Tl2 Zn1 Cl1'
_space_group_name_H-M_alt 'P 4/m m m'
_space_group_IT_number 123
_space_group_name_Hall '-P 4 2'
_cell_length_a 4.023
_cell_length_b 4.023
_cell_length_c 6.817
_cell_angle_alpha 90.00
_cell_angle_beta 90.00
_cell_angle_gamma 90.00
loop_
_atom_site_label
_atom_site_type_symbol
_atom_site_fract_x
_atom_site_fract_y
_atom_site_fract_z
_atom_site_occupancy
Tl1 Tl 0.000 0.000 0.248 1
Zn1 Zn 0.500 0.500 0.000 1
Cl1 Cl 0.500 0.500 0.500 1

=====

Record 4
# ScNi15Sb4 | Alexandria | PBE | optimized geometry
# - Total moment: 0.00 μB/f.u.
# - Energy relative to the elements, uncorrected: -0.204 eV/atom
# - Density of states at the Fermi level: 11.38 states/eV/f.u.
data_ScNi15Sb4
_chemical_formula_sum 'Sc1 Ni15 Sb4'
_space_group_name_H-M_alt 'P 4/m m m'
_space_group_IT_number 123
_space_group_name_Hall '-P 4 2'
_cell_length_a 3.737
_cell_length_b 3.737
_cell_length_c 18.533
_cell_angle_alpha 90.00
_cell_angle_beta 90.00
_cell_angle_gamma 90.00
loop_
_atom_site_label
_atom_site_type_symbol
_atom_site_fract_x
_atom_site_fract_y
_atom_site_fract_z
_atom_site_occupancy
Sc1 Sc 0.000 0.000 0.000 1
Ni1 Ni 0.000 0.500 0.100 1
Ni2 Ni 0.000 0.500 0.300 1
Ni3 Ni 0.000 0.500 0.500 1
Ni4 Ni 0.500 0.500 0.000 1
Ni5 Ni 0.500 0.500 0.202 1
Ni6 Ni 0.500 0.500 0.400 1
Sb1 Sb 0.000 0.000 0.197 1
Sb2 Sb 0.000 0.000 0.399 1

=====

Record 5
# La3Tb2Sm2 | Alexandria | PBE | optimized geometry
# - Total moment: 0.00 μB/f.u.
# - Density of states at the Fermi level: 10.90 states/eV/f.u.
# - Formation energy: 0.75 eV per formula unit
data_La3Tb2Sm2
_chemical_formula_sum 'La6 Tb4 Sm4'
_space_group_name_H-M_alt 'C 1 2/m 1'
_space_group_IT_number 12
_cell_length_a 17.878
_cell_length_b 3.557
_cell_length_c 8.718
_cell_angle_alpha 90.00
_cell_angle_beta 118.64
_cell_angle_gamma 90.00
loop_
_space_group_symop_operation_xyz
'x,y,z'
'-x,-y,-z'
'-x,y,-z'
'x,-y,z'
'x+1/2,y+1/2,z'
'-x+1/2,-y+1/2,-z'
'-x+1/2,y+1/2,-z'
'x+1/2,-y+1/2,z'
loop_
_atom_site_label
_atom_site_type_symbol
_atom_site_fract_x
_atom_site_fract_y
_atom_site_fract_z
_atom_site_occupancy
La1 La 0.000 0.000 0.000 1
La2 La 0.213 0.000 0.297 1
Tb1 Tb 0.145 0.000 0.828 1
Sm1 Sm 0.064 0.500 0.410 1

=====

Record 6
# DyYSi4 | Alexandria | PBE | optimized geometry
# - Total moment: 0.00 μB/f.u.
# - Energy relative to the elements, uncorrected: -0.405 eV/atom
# - Density of states at the Fermi level: 2.13 states/eV/f.u.
data_DyYSi4
_chemical_formula_sum 'Dy4 Y4 Si16'
_space_group_name_H-M_alt 'P b a m'
_space_group_IT_number 55
_cell_length_a 8.411
_cell_length_b 14.503
_cell_length_c 4.021
_cell_angle_alpha 90.00
_cell_angle_beta 90.00
_cell_angle_gamma 90.00
loop_
_space_group_symop_operation_xyz
'x,y,z'
'-x,-y,-z'
'-x,-y,z'
'x,y,-z'
'x+1/2,-y+1/2,-z'
'-x+1/2,y+1/2,z'
'-x+1/2,y+1/2,-z'
'x+1/2,-y+1/2,z'
loop_
_atom_site_label
_atom_site_type_symbol
_atom_site_fract_x
_atom_site_fract_y
_atom_site_fract_z
_atom_site_occupancy
Dy1 Dy 0.096 0.130 0.000 1
Y1 Y 0.137 0.414 0.000 1
Si1 Si 0.042 0.284 0.500 1
Si2 Si 0.130 0.971 0.500 1
Si3 Si 0.139 0.577 0.500 1
Si4 Si 0.180 0.809 0.500 1

=====

Record 7
# AlGaMo2I | Alexandria | PBE | optimized geometry
# - Total moment: 0.00 μB/f.u.
# - Energy relative to the elements, uncorrected: 1.356 eV/atom
# - Density of states at the Fermi level: 5.06 states/eV/f.u.
data_AlGaMo2I
_chemical_formula_sum 'Al1 Ga1 Mo2 I1'
_space_group_name_H-M_alt 'P 4/m m m'
_space_group_IT_number 123
_space_group_name_Hall '-P 4 2'
_cell_length_a 4.876
_cell_length_b 4.876
_cell_length_c 4.396
_cell_angle_alpha 90.00
_cell_angle_beta 90.00
_cell_angle_gamma 90.00
loop_
_atom_site_label
_atom_site_type_symbol
_atom_site_fract_x
_atom_site_fract_y
_atom_site_fract_z
_atom_site_occupancy
Al1 Al 0.000 0.000 0.000 1
Ga1 Ga 0.000 0.000 0.500 1
Mo1 Mo 0.000 0.500 0.500 1
I1 I 0.500 0.500 0.000 1

=====

Record 8
# KLiCo2 | Alexandria | PBE | optimized geometry
# - Total moment: 3.28 μB/f.u.
# - Density of states at the Fermi level: 3.80 states/eV/f.u.
# - Formation energy: 2.70 eV per formula unit
# - E above lowest polymorph: 0.197 eV/atom
data_KLiCo2
_chemical_formula_sum 'K1 Li1 Co2'
_space_group_name_H-M_alt 'P 1 2/m 1'
_space_group_IT_number 10
_cell_length_a 2.822
_cell_length_b 4.548
_cell_length_c 6.768
_cell_angle_alpha 90.00
_cell_angle_beta 99.29
_cell_angle_gamma 90.00
loop_
_space_group_symop_operation_xyz
'x,y,z'
'-x,-y,-z'
'-x,y,-z'
'x,-y,z'
loop_
_atom_site_label
_atom_site_type_symbol
_atom_site_fract_x
_atom_site_fract_y
_atom_site_fract_z
_atom_site_occupancy
K1 K 0.000 0.000 0.000 1
Li1 Li 0.500 0.000 0.500 1
Co1 Co 0.293 0.500 0.627 1